First-principles (PBE) data for a relaxed La4PHSe2 crystal, as listed in Alexandria via LeMat-Bulk.

Summary:
* density: 5.9 g cm⁻³
* spin magnetization: 0.000 μB/atom
* V: 212 Å³/f.u.
* VASP energy: -47.2 eV/f.u.

Structure (CIF):
```
data_La4PHSe2
_cell_length_a 4.218
_cell_length_b 7.215
_cell_length_c 7.342
_cell_angle_alpha 108.77
_cell_angle_beta 90.00
_cell_angle_gamma 90.00
_space_group_name_H-M_alt 'P 1'
_space_group_IT_number 1
loop_
_space_group_symop_operation_xyz
'x,y,z'
loop_
_atom_site_label
_atom_site_fract_x
_atom_site_fract_y
_atom_site_fract_z
_atom_site_occupancy
H1 0.500 0.500 0.000 1
La1 0.500 0.244 0.233 1
La2 0.500 0.756 0.767 1
La3 0.000 0.248 0.759 1
La4 0.000 0.752 0.241 1
Se1 0.000 0.500 0.500 1
Se2 0.500 0.000 0.500 1
P1 0.000 0.000 0.000 1
```

First-principles (PBE) data for a relaxed Pm2ThCu3 crystal, as listed in Alexandria via LeMat-Bulk.

Summary:
* density: 8.7 g cm⁻³
* ΔH_f (0 K): -0.13 eV/atom
* spin magnetization: 0.000 μB/atom
* V: 136 Å³/f.u.
* VASP energy: -30.0 eV/f.u.

Structure (CIF):
```
data_Pm2ThCu3
_cell_length_a 3.539
_cell_length_b 3.539
_cell_length_c 10.866
_cell_angle_alpha 90.00
_cell_angle_beta 90.00
_cell_angle_gamma 90.00
_space_group_name_H-M_alt 'P 1'
_space_group_IT_number 1
loop_
_space_group_symop_operation_xyz
'x,y,z'
loop_
_atom_site_label
_atom_site_fract_x
_atom_site_fract_y
_atom_site_fract_z
_atom_site_occupancy
Cu1 0.000 0.000 0.669 1
Cu2 0.000 0.000 0.331 1
Cu3 0.000 0.000 0.000 1
Th1 0.500 0.500 0.500 1
Pm1 0.500 0.500 0.165 1
Pm2 0.500 0.500 0.835 1
```

First-principles (PBE) data for a relaxed Cs3CoRu crystal, as listed in Alexandria via LeMat-Bulk.

Summary:
* density: 4.3 g cm⁻³
* ΔH_f (0 K): 1.41 eV/atom
* distance to the lowest polymorph of the same formula: 0 meV/atom
* spin magnetization: 0.411 μB/atom
* V: 214 Å³/f.u.
* VASP energy: -11.9 eV/f.u.

Structure (CIF):
```
data_Cs3CoRu
_cell_length_a 5.983
_cell_length_b 5.983
_cell_length_c 5.983
_cell_angle_alpha 90.00
_cell_angle_beta 90.00
_cell_angle_gamma 90.00
_space_group_name_H-M_alt 'P 1'
_space_group_IT_number 1
loop_
_space_group_symop_operation_xyz
'x,y,z'
loop_
_atom_site_label
_atom_site_fract_x
_atom_site_fract_y
_atom_site_fract_z
_atom_site_occupancy
Co1 0.500 0.500 0.500 1
Cs1 0.000 0.500 0.000 1
Cs2 0.500 0.000 0.000 1
Cs3 0.000 0.000 0.500 1
Ru1 0.000 0.000 0.000 1
```

First-principles (PBE) data for a relaxed FeHgAs2 crystal, as listed in Alexandria via LeMat-Bulk.

Summary:
* density: 9.2 g cm⁻³
* ΔH_f (0 K): 0.32 eV/atom
* spin magnetization: 0.424 μB/atom
* V: 74 Å³/f.u.
* VASP energy: -16.8 eV/f.u.

Structure (CIF):
```
data_FeHgAs2
_cell_length_a 8.982
_cell_length_b 8.982
_cell_length_c 8.982
_cell_angle_alpha 19.91
_cell_angle_beta 19.91
_cell_angle_gamma 19.91
_space_group_name_H-M_alt 'P 1'
_space_group_IT_number 1
loop_
_space_group_symop_operation_xyz
'x,y,z'
loop_
_atom_site_label
_atom_site_fract_x
_atom_site_fract_y
_atom_site_fract_z
_atom_site_occupancy
Fe1 0.511 0.511 0.511 1
As1 0.235 0.235 0.235 1
As2 0.991 0.991 0.991 1
Hg1 0.762 0.762 0.762 1
```

First-principles (PBE) data for a relaxed Ac6TlPb5 crystal, as listed in Alexandria via LeMat-Bulk.

Summary:
* density: 10.1 g cm⁻³
* ΔH_f (0 K): -0.47 eV/atom
* spin magnetization: 0.000 μB/atom
* V: 426 Å³/f.u.
* VASP energy: -51.2 eV/f.u.

Structure (CIF):
```
data_Ac6TlPb5
_cell_length_a 5.523
_cell_length_b 10.824
_cell_length_c 9.896
_cell_angle_alpha 56.85
_cell_angle_beta 73.84
_cell_angle_gamma 59.40
_space_group_name_H-M_alt 'P 1'
_space_group_IT_number 1
loop_
_space_group_symop_operation_xyz
'x,y,z'
loop_
_atom_site_label
_atom_site_fract_x
_atom_site_fract_y
_atom_site_fract_z
_atom_site_occupancy
Pb1 0.000 0.665 0.669 1
Pb2 0.500 0.165 0.670 1
Pb3 0.000 0.335 0.331 1
Pb4 0.500 0.835 0.330 1
Pb5 0.500 0.500 0.000 1
Ac1 0.749 0.751 0.000 1
Ac2 0.249 0.583 0.335 1
Ac3 0.751 0.082 0.335 1
Ac4 0.251 0.249 0.000 1
Ac5 0.249 0.918 0.665 1
Ac6 0.751 0.417 0.665 1
Tl1 0.000 0.000 0.000 1
```

First-principles (PBE) data for a relaxed TbZn2Au8 crystal, as listed in Alexandria via LeMat-Bulk.

Summary:
* density: 15.4 g cm⁻³
* ΔH_f (0 K): -0.33 eV/atom
* distance to the lowest polymorph of the same formula: 0 meV/atom
* spin magnetization: 0.000 μB/atom
* V: 201 Å³/f.u.
* VASP energy: -37.1 eV/f.u.

Structure (CIF):
```
data_TbZn2Au8
_cell_length_a 4.229
_cell_length_b 6.935
_cell_length_c 7.617
_cell_angle_alpha 109.66
_cell_angle_beta 106.12
_cell_angle_gamma 90.00
_space_group_name_H-M_alt 'P 1'
_space_group_IT_number 1
loop_
_space_group_symop_operation_xyz
'x,y,z'
loop_
_atom_site_label
_atom_site_fract_x
_atom_site_fract_y
_atom_site_fract_z
_atom_site_occupancy
Au1 0.850 0.773 0.700 1
Au2 0.044 0.725 0.088 1
Au3 0.683 0.916 0.365 1
Au4 0.393 0.531 0.787 1
Au5 0.150 0.227 0.300 1
Au6 0.317 0.084 0.635 1
Au7 0.956 0.275 0.912 1
Au8 0.607 0.469 0.213 1
Zn1 0.222 0.662 0.444 1
Zn2 0.778 0.338 0.556 1
Tb1 0.500 0.000 0.000 1
```

First-principles (PBE) data for a relaxed BaZrOs2 crystal, as listed in Alexandria via LeMat-Bulk.

Summary:
* density: 12.8 g cm⁻³
* ΔH_f (0 K): 0.94 eV/atom
* distance to the lowest polymorph of the same formula: 744 meV/atom
* spin magnetization: 0.000 μB/atom
* V: 79 Å³/f.u.
* VASP energy: -29.2 eV/f.u.

Structure (CIF):
```
data_BaZrOs2
_cell_length_a 4.823
_cell_length_b 4.823
_cell_length_c 4.823
_cell_angle_alpha 120.07
_cell_angle_beta 120.07
_cell_angle_gamma 89.89
_space_group_name_H-M_alt 'P 1'
_space_group_IT_number 1
loop_
_space_group_symop_operation_xyz
'x,y,z'
loop_
_atom_site_label
_atom_site_fract_x
_atom_site_fract_y
_atom_site_fract_z
_atom_site_occupancy
Zr1 0.500 0.500 0.000 1
Os1 0.000 0.000 0.000 1
Os2 0.250 0.750 0.500 1
Ba1 0.750 0.250 0.500 1
```

First-principles (PBE) data for a relaxed LuAsO4 crystal, as listed in Alexandria via LeMat-Bulk.

Summary:
* density: 6.8 g cm⁻³
* formation energy without anion corrections: -231 kJ/mol of atoms
* spin magnetization: 0.000 μB/atom
* V: 77 Å³/f.u.
* VASP energy: -43.4 eV/f.u.

Structure (CIF):
```
data_LuAsO4
_cell_length_a 5.869
_cell_length_b 5.868
_cell_length_c 5.869
_cell_angle_alpha 106.63
_cell_angle_beta 115.33
_cell_angle_gamma 106.63
_space_group_name_H-M_alt 'P 1'
_space_group_IT_number 1
loop_
_space_group_symop_operation_xyz
'x,y,z'
loop_
_atom_site_label
_atom_site_fract_x
_atom_site_fract_y
_atom_site_fract_z
_atom_site_occupancy
O1 0.194 0.934 0.627 1
O2 0.740 0.934 0.806 1
O3 0.627 0.433 0.194 1
O4 0.373 0.567 0.806 1
O5 0.806 0.066 0.373 1
O6 0.260 0.066 0.194 1
O7 0.806 0.434 0.740 1
O8 0.194 0.566 0.260 1
Lu1 0.875 0.750 0.125 1
Lu2 0.125 0.250 0.875 1
As1 0.375 0.750 0.625 1
As2 0.625 0.250 0.375 1
```